Entry from OQMD via LeMat-Bulk: an optimized crystal structure of InReNO (PBE).

```
data_InReNO
_chemical_formula_sum 'In2 Re2 N2 O2'
_cell_length_a 2.922
_cell_length_b 5.575
_cell_length_c 7.196
_cell_angle_alpha 90.00
_cell_angle_beta 90.00
_cell_angle_gamma 90.00
_symmetry_space_group_name_H-M 'P m c 21'
_symmetry_Int_Tables_number 26
loop_
_symmetry_equiv_pos_as_xyz
'x,y,z'
'-x,-y,z+1/2'
'-x,y,z'
'x,-y,z+1/2'
loop_
_atom_site_label
_atom_site_type_symbol
_atom_site_fract_x
_atom_site_fract_y
_atom_site_fract_z
In1 In 0.000 0.129 0.000
Re1 Re 0.500 0.449 0.602
N1 N 0.000 0.210 0.665
O1 O 0.500 0.418 0.342
```

- Calculated density: 9.38 g/cm³
- Energy above the lowest structure with this stoichiometry: 0 meV per atom

***

Entry from OQMD via LeMat-Bulk: an optimized crystal structure of InReNO (PBE).

```
data_InReNO
_chemical_formula_sum 'In2 Re2 N2 O2'
_cell_length_a 3.858
_cell_length_b 3.858
_cell_length_c 7.150
_cell_angle_alpha 90.00
_cell_angle_beta 90.00
_cell_angle_gamma 90.00
_symmetry_space_group_name_H-M 'P 4/n m m'
_symmetry_Int_Tables_number 129
loop_
_symmetry_equiv_pos_as_xyz
'x,y,z'
'-x,-y,-z'
'-y+1/2,x,z'
'y+1/2,-x,-z'
'-x+1/2,-y+1/2,z'
'x+1/2,y+1/2,-z'
'y,-x+1/2,z'
'-y,x+1/2,-z'
'x+1/2,-y,-z'
'-x+1/2,y,z'
'-y,-x,-z'
'y,x,z'
'-x,y+1/2,-z'
'x,-y+1/2,z'
'y+1/2,x+1/2,-z'
'-y+1/2,-x+1/2,z'
loop_
_atom_site_label
_atom_site_type_symbol
_atom_site_fract_x
_atom_site_fract_y
_atom_site_fract_z
In1 In 0.250 0.250 0.145
Re1 Re 0.250 0.750 0.500
N1 N 0.250 0.250 0.611
O1 O 0.250 0.750 0.000
```

- Calculated density: 10.33 g/cm³
- Energy above the lowest structure with this stoichiometry: 133 meV per atom

***

Entry from OQMD via LeMat-Bulk: an optimized crystal structure of InReNO (PBE).

```
data_InReNO
_chemical_formula_sum 'In2 Re2 N2 O2'
_cell_length_a 4.055
_cell_length_b 4.055
_cell_length_c 8.795
_cell_angle_alpha 90.00
_cell_angle_beta 90.00
_cell_angle_gamma 90.00
_symmetry_space_group_name_H-M 'P 4/n m m'
_symmetry_Int_Tables_number 129
loop_
_symmetry_equiv_pos_as_xyz
'x,y,z'
'-x,-y,-z'
'-y+1/2,x,z'
'y+1/2,-x,-z'
'-x+1/2,-y+1/2,z'
'x+1/2,y+1/2,-z'
'y,-x+1/2,z'
'-y,x+1/2,-z'
'x+1/2,-y,-z'
'-x+1/2,y,z'
'-y,-x,-z'
'y,x,z'
'-x,y+1/2,-z'
'x,-y+1/2,z'
'y+1/2,x+1/2,-z'
'-y+1/2,-x+1/2,z'
loop_
_atom_site_label
_atom_site_type_symbol
_atom_site_fract_x
_atom_site_fract_y
_atom_site_fract_z
In1 In 0.250 0.750 0.000
Re1 Re 0.250 0.250 0.421
N1 N 0.250 0.250 0.227
O1 O 0.250 0.750 0.500
```

- Calculated density: 7.60 g/cm³
- Energy above the lowest structure with this stoichiometry: 516 meV per atom

***

Spin magnetization
In order: 0.00 0.69 0.00
Unit: μB per cell
Energy
In order: -7.418 -7.285 -6.903
Unit: eV per atom